(1)
A plane-wave DFT calculation with GGA-PBE was carried out for an optimized crystal structure of Y2HfReN6.

Cell lengths 10.335, 10.335, 10.335 Å; angles 32.07, 32.07, 32.07 degrees
Fractional coordinates of all 20 atoms:
Y 0.149 0.149 0.149
Y 0.265 0.265 0.265
Y 0.735 0.735 0.735
Y 0.851 0.851 0.851
Hf 0.000 0.000 0.000
Hf 0.500 0.500 0.500
Re 0.403 0.403 0.403
Re 0.597 0.597 0.597
N 0.114 0.628 0.628
N 0.211 0.211 0.711
N 0.211 0.711 0.211
N 0.289 0.789 0.789
N 0.372 0.372 0.886
N 0.372 0.886 0.372
N 0.628 0.114 0.628
N 0.628 0.628 0.114
N 0.711 0.211 0.211
N 0.789 0.289 0.789
N 0.789 0.789 0.289
N 0.886 0.372 0.372

Properties
Electronic total energy in eV per atom: -9.20
Total magnetization in μB per formula unit: 0.327

(2)
A plane-wave DFT calculation with GGA-PBE was carried out for an optimized crystal structure of Hf2SN.

Cell lengths 3.318, 3.318, 11.996 Å; angles 90.00, 90.00, 120.00 degrees
Fractional coordinates of all 8 atoms:
Hf 0.333 0.667 0.099
Hf 0.333 0.667 0.401
Hf 0.667 0.333 0.599
Hf 0.667 0.333 0.901
S 0.333 0.667 0.750
S 0.667 0.333 0.250
N 0.000 0.000 0.000
N 0.000 0.000 0.500

Properties
ΔE to the lowest computed polymorph in eV per formula unit: 0.00
Electronic total energy in eV per atom: -9.61
Total magnetization in μB per formula unit: 0.000

(3)
A plane-wave DFT calculation with GGA-PBE was carried out for an optimized crystal structure of Hf2SN.

Cell lengths 5.738, 5.738, 6.342 Å; angles 106.08, 106.08, 40.32 degrees
Fractional coordinates of all 8 atoms:
Hf 0.146 0.146 0.073
Hf 0.146 0.146 0.574
Hf 0.854 0.854 0.426
Hf 0.854 0.854 0.927
S 0.362 0.636 0.749
S 0.364 0.638 0.251
N 0.786 0.213 0.750
N 0.787 0.214 0.250

Properties
ΔE to the lowest computed polymorph in eV per formula unit: 4.42
Electronic total energy in eV per atom: -8.51
Total magnetization in μB per formula unit: 0.001